Here is a relaxed Na2NbPN4 crystal from OQMD via LeMat-Bulk. Energies are from PBE-GGA.

The calculation puts the raw total energy at -7.10 eV per atom.

The space group is I-4 (No. 82) and the conventional cell measures 5.180, 5.180 and 7.983 Å, with angles of 90.00, 90.00 and 90.00 degrees. The inequivalent atoms are Na at (0.000, 0.000, 0.000), Na at (0.000, 0.500, 0.250), Nb at (0.000, 0.500, 0.750), P at (0.000, 0.000, 0.500) and N at (0.144, 0.221, 0.616).

Here is a relaxed La2DyMg2Si4Au2 crystal from OQMD via LeMat-Bulk. Energies are from PBE-GGA.

The calculation puts the raw total energy at -4.84 eV per atom.

The space group is Immm (No. 71) and the conventional cell measures 4.255, 4.353 and 26.082 Å, with angles of 90.00, 90.00 and 90.00 degrees. The inequivalent atoms are La at (0.000, 0.000, 0.140), Dy at (0.000, 0.500, 0.000), Mg at (0.000, 0.500, 0.250), Si at (0.000, 0.000, 0.315), Si at (0.000, 0.500, 0.455) and Au at (0.000, 0.000, 0.412).

Here is a relaxed Ta3W crystal from OQMD via LeMat-Bulk. Energies are from PBE-GGA.

The calculation puts the raw total energy at -12.08 eV per atom. The calculation puts the formation energy at 0.213 eV/f.u.

The space group is P6_3/mmc (No. 194) and the conventional cell measures 5.3680, 5.3680 and 17.6287 Å, with angles of 90.00, 90.00 and 120.00 degrees. The inequivalent atoms are Ta at (0.0000, 0.0000, 0.0912), Ta at (0.1642, 0.3285, 0.2500), Ta at (0.3333, 0.6667, 0.1218), Ta at (0.3333, 0.6667, 0.6531) and W at (0.0000, 0.5000, 0.0000).

Here is a relaxed LuAs2 crystal from OQMD via LeMat-Bulk. Energies are from PBE-GGA.

The calculation puts the raw total energy at -4.03 eV per atom.

The space group is Fd-3m (No. 227, origin choice 2) and the conventional cell measures 12.401, 12.401 and 12.401 Å, with angles of 90.00, 90.00 and 90.00 degrees. The inequivalent atoms are Lu at (0.125, 0.125, 0.125) and As at (0.000, 0.000, 0.000).